# 1
First-principles (PBE-GGA) data for a relaxed SmEu2Ag crystal, as listed in Alexandria via LeMat-Bulk.

a b c (Å): 3.7814 3.7814 9.1514
angles (deg): 90.00 90.00 90.00
Last column: nearest neighbours and their distance in Å.
Fractional coordinates of all 4 atoms:
Eu  0.0000  0.0000  0.2062  4 Ag 3.27
Eu  0.0000  0.0000  0.7938  4 Ag 3.27
Sm  0.5000  0.5000  0.5000  4 Sm 3.78, 8 Eu 3.79
Ag  0.5000  0.5000  0.0000  8 Eu 3.27

Computed properties:
* ΔE to the lowest computed polymorph: 0.00 eV/f.u.
* V: 131 Å³ per cell
* total magnetic moment: 15.03 μB per formula unit
* energy of formation from the pure elements: -0.081 eV per atom
* electronic total energy: -7.1110 eV/atom
* space group: P4/mmm (123)

---

# 2
First-principles (PBE-GGA) data for a relaxed ScRe2Ag crystal, as listed in Alexandria via LeMat-Bulk.

a b c (Å): 2.8142 4.5299 5.4695
angles (deg): 90.00 90.00 90.00
Last column: nearest neighbours and their distance in Å.
Fractional coordinates of all 4 atoms:
Ag  0.5000  0.5000  0.7500  2 Sc 2.73, 2 Ag 2.81
Re  0.0000  0.0000  0.4659  1 Re 2.36
Sc  0.5000  0.5000  0.2500  2 Ag 2.73, 2 Sc 2.81, 8 Re 2.92
Re  0.0000  0.0000  0.0341  1 Re 2.36

Computed properties:
* ΔE to the lowest computed polymorph: 1.45 eV/f.u.
* V: 70 Å³ per cell
* total magnetic moment: 0.00 μB per formula unit
* energy of formation from the pure elements: 0.403 eV per atom
* electronic total energy: -8.1166 eV/atom
* space group: Pmmm (47)

---

# 3
First-principles (PBE-GGA) data for a relaxed CrTeHRhAu2 crystal, as listed in Alexandria via LeMat-Bulk.

a b c (Å): 7.0537 2.9702 10.3803
angles (deg): 90.00 111.96 90.00
Last column: nearest neighbours and their distance in Å.
Fractional coordinates of all 12 atoms:
Rh  0.5632  0.0000  0.4229  2 H 1.83
H  0.7098  0.5000  0.4130  2 Rh 1.83, 1 Au 1.92
H  0.7098  0.0000  0.9130  2 Rh 1.83, 1 Au 1.92
Au  0.9470  0.5000  0.6106  1 H 2.11
Te  0.2584  0.5000  0.4571  2 Rh 2.74, 3 Cr 2.80-2.85, 2 Te 2.97
Au  0.9470  0.0000  0.1106  1 H 2.11
Te  0.2584  0.0000  0.9571  2 Rh 2.74, 3 Cr 2.80-2.85, 2 Te 2.97
Cr  0.3053  0.0000  0.7013  3 Au 2.72-2.78, 2 Rh 2.77, 3 Te 2.80-2.85, 1 H 2.88, 2 Cr 2.97
Au  0.7036  0.0000  0.7266  1 H 1.92
Rh  0.5632  0.5000  0.9229  2 H 1.83
Cr  0.3053  0.5000  0.2013  3 Au 2.72-2.78, 2 Rh 2.77, 3 Te 2.80-2.85, 1 H 2.88, 2 Cr 2.97
Au  0.7036  0.5000  0.2266  1 H 1.92

Computed properties:
* ΔE to the lowest computed polymorph: 0.34 eV/f.u.
* V: 202 Å³ per cell
* total magnetic moment: 3.61 μB per formula unit
* electronic total energy: -4.8667 eV/atom
* space group: Cm (8)

---

Repeat the first record exactly.
First-principles (PBE-GGA) data for a relaxed SmEu2Ag crystal, as listed in Alexandria via LeMat-Bulk.

a b c (Å): 3.7814 3.7814 9.1514
angles (deg): 90.00 90.00 90.00
Last column: nearest neighbours and their distance in Å.
Fractional coordinates of all 4 atoms:
Eu  0.0000  0.0000  0.2062  4 Ag 3.27
Eu  0.0000  0.0000  0.7938  4 Ag 3.27
Sm  0.5000  0.5000  0.5000  4 Sm 3.78, 8 Eu 3.79
Ag  0.5000  0.5000  0.0000  8 Eu 3.27

Computed properties:
* ΔE to the lowest computed polymorph: 0.00 eV/f.u.
* V: 131 Å³ per cell
* total magnetic moment: 15.03 μB per formula unit
* energy of formation from the pure elements: -0.081 eV per atom
* electronic total energy: -7.1110 eV/atom
* space group: P4/mmm (123)